First-principles (PBE) data for crystalline GePtO3 at its relaxed geometry, as listed in OQMD via LeMat-Bulk.

```
GePtO3
1.0
6.188 -1.540 0.000
6.188 1.540 0.000
-2.568 0.000 6.644
Ge O Pt
2 6 2
Cartesian
10.718 0.000 1.066 Ge
-0.910 0.000 5.578 Ge
4.275 0.000 0.199 O
0.100 0.000 1.562 O
9.470 0.000 2.381 O
0.337 0.000 4.263 O
9.707 0.000 5.081 O
5.533 0.000 6.445 O
6.401 0.000 2.927 Pt
3.407 0.000 3.717 Pt
```

Calculated values
Total energy: -6.03 eV per atom
Symmetry: C2/m